VASP calculation (PBE) on a geometry-optimized AlZnSb2 structure.

Properties
Raw formation energy in eV per atom: 0.130
Space group: No. 160

```
AlZnSb2
1.0
1.677 0.968 9.920
-1.677 0.968 9.920
0.000 -1.937 9.920
Al Zn Sb
1 1 2
Direct
0.000 0.000 0.000
0.270 0.270 0.270
0.534 0.534 0.534
0.739 0.739 0.739
```

VASP calculation (PBE) on a geometry-optimized CaYMgAl structure.

Properties
ΔE_f in meV per atom: -212
Space group: No. 216

```
CaYMgAl
1.0
0.000 3.743 3.743
3.743 0.000 3.743
3.743 3.743 0.000
Ca Y Mg Al
1 1 1 1
Direct
0.000 0.000 0.000
0.500 0.500 0.500
0.750 0.750 0.750
0.250 0.250 0.250
```

VASP calculation (PBE) on a geometry-optimized Li2CoSb structure.

Properties
Raw formation energy in eV per atom: -0.008
Space group: No. 10

```
Li2CoSb
1.0
3.114 0.000 0.000
0.000 4.583 0.000
-0.786 0.000 4.446
Li Co Sb
2 1 1
Direct
0.230 0.000 0.267
0.770 0.000 0.733
0.000 0.500 0.500
0.500 0.500 0.000
```

VASP calculation (PBE) on a geometry-optimized Y2Zn4Ga3Hg structure.

Properties
ΔE_f in meV per atom: -373
Space group: No. 115

```
Y2Zn4Ga3Hg
1.0
4.213 0.000 0.000
0.000 4.213 0.000
0.000 0.000 10.825
Y Zn Ga Hg
2 4 3 1
Direct
0.000 0.500 0.238
0.500 0.000 0.762
0.000 0.000 0.000
0.000 0.500 0.647
0.500 0.000 0.353
0.500 0.500 0.000
0.000 0.500 0.867
0.500 0.000 0.133
0.500 0.500 0.500
0.000 0.000 0.500
```

VASP calculation (PBE) on a geometry-optimized AgBi3Br structure.

Properties
Raw formation energy in eV per atom: 0.493
Space group: No. 221

```
AgBi3Br
1.0
5.586 0.000 0.000
0.000 5.586 0.000
0.000 0.000 5.586
Ag Bi Br
1 3 1
Direct
0.000 0.000 0.000
0.000 0.000 0.500
0.000 0.500 0.000
0.500 0.000 0.000
0.500 0.500 0.500
```

VASP calculation (PBE) on a geometry-optimized LiGaS2Cl structure.

Properties
Raw formation energy in eV per atom: -0.376
Space group: No. 123

```
LiGaS2Cl
1.0
4.658 0.000 0.000
0.000 4.658 0.000
0.000 0.000 5.245
Li Ga S Cl
1 1 2 1
Direct
0.000 0.000 0.000
0.500 0.500 0.500
0.000 0.500 0.500
0.500 0.000 0.500
0.500 0.500 0.000
```

VASP calculation (PBE) on a geometry-optimized BiTeP2 structure.

Properties
Raw formation energy in eV per atom: 0.433
Space group: No. 122

```
BiTeP2
1.0
-2.765 2.765 7.810
2.765 -2.765 7.810
2.765 2.765 -7.810
Bi Te P
2 2 4
Direct
0.000 0.000 0.000
0.750 0.250 0.500
0.250 0.750 0.500
0.500 0.500 0.000
0.145 0.625 0.020
0.375 0.395 0.520
0.605 0.125 0.980
0.875 0.855 0.480
```

VASP calculation (PBE) on a geometry-optimized Li5Si2Au12 structure.

Properties
Raw formation energy in eV per atom: -0.256
Space group: No. 12

```
Li5Si2Au12
1.0
7.925 -2.854 0.000
7.925 2.854 0.000
-2.585 0.000 7.346
Li Si Au
5 2 12
Direct
0.000 0.000 0.000
0.249 0.249 0.007
0.268 0.268 0.525
0.732 0.732 0.475
0.751 0.751 0.993
0.292 0.708 0.500
0.708 0.292 0.500
0.076 0.076 0.362
0.089 0.588 0.295
0.109 0.594 0.857
0.406 0.891 0.143
0.412 0.911 0.705
0.485 0.485 0.176
0.515 0.515 0.824
0.588 0.089 0.295
0.594 0.109 0.857
0.891 0.406 0.143
0.911 0.412 0.705
0.924 0.924 0.638
```

VASP calculation (PBE) on a geometry-optimized AlCdAu2 structure.

Properties
ΔE_f in meV per atom: -179
Space group: No. 225

```
AlCdAu2
1.0
0.000 3.309 3.309
3.309 0.000 3.309
3.309 3.309 0.000
Al Cd Au
1 1 2
Direct
0.000 0.000 0.000
0.500 0.500 0.500
0.250 0.250 0.250
0.750 0.750 0.750
```

VASP calculation (PBE) on a geometry-optimized Cr2AgCl structure.

Properties
Raw formation energy in eV per atom: 0.425
Space group: No. 99

```
Cr2AgCl
1.0
4.871 0.000 0.000
0.000 4.871 0.000
0.000 0.000 3.197
Cr Ag Cl
2 1 1
Direct
0.000 0.500 0.000
0.500 0.000 0.000
0.000 0.000 0.500
0.500 0.500 0.987
```

VASP calculation (PBE) on a geometry-optimized LaTbBiI structure.

Properties
Raw formation energy in eV per atom: -0.846
Space group: No. 216

```
LaTbBiI
1.0
0.000 3.934 3.934
3.934 0.000 3.934
3.934 3.934 0.000
La Tb Bi I
1 1 1 1
Direct
0.000 0.000 0.000
0.500 0.500 0.500
0.250 0.250 0.250
0.750 0.750 0.750
```

VASP calculation (PBE) on a geometry-optimized CrRh2Br structure.

Properties
Raw formation energy in eV per atom: 0.599
Space group: No. 119

```
CrRh2Br
1.0
-1.977 1.977 4.030
1.977 -1.977 4.030
1.977 1.977 -4.030
Cr Rh Br
1 2 1
Direct
0.000 0.000 0.000
0.250 0.750 0.500
0.500 0.500 0.000
0.750 0.250 0.500
```

| no. | M_tot (μB per atom) | total energy (eV/atom) | N(E_F) (states/eV/f.u.) |
| --- | --- | --- | --- |
| 1 | 0.000 | -3.19 | 0.89 |
| 2 | 0.000 | -3.66 | 2.07 |
| 3 | 0.182 | -3.77 | 2.85 |
| 4 | 0.000 | -3.11 | 3.83 |
| 5 | 0.000 | -2.74 | 10.21 |
| 6 | 0.092 | -3.38 | 3.59 |
| 7 | 0.000 | -4.03 | 1.73 |
| 8 | 0.000 | -3.40 | 3.98 |
| 9 | 0.000 | -2.98 | 1.09 |
| 10 | 2.117 | -5.56 | 2.47 |
| 11 | 0.006 | -4.59 | 3.84 |
| 12 | 0.704 | -5.90 | 4.25 |